Here is a geometry-optimized Li2NbCu2 structure from the Alexandria database. Energies are from PBE-GGA.

CIF file:
```
data_Li2NbCu2
_cell_length_a 7.2943
_cell_length_b 7.2943
_cell_length_c 2.6068
_cell_angle_alpha 90.00
_cell_angle_beta 90.00
_cell_angle_gamma 90.00
_symmetry_space_group_name_H-M 'P 1'
_symmetry_Int_Tables_number 1
loop_
_symmetry_equiv_pos_as_xyz
'x,y,z'
loop_
_atom_site_label
_atom_site_fract_x
_atom_site_fract_y
_atom_site_fract_z
Nb1 0.0000 0.0000 0.0000
Nb2 0.5000 0.5000 0.0000
Cu1 0.3656 0.8656 0.0000
Cu2 0.8656 0.6344 0.0000
Cu3 0.6344 0.1344 0.0000
Cu4 0.1344 0.3656 0.0000
Li1 0.1621 0.6621 0.5000
Li2 0.6621 0.8379 0.5000
Li3 0.8379 0.3379 0.5000
Li4 0.3379 0.1621 0.5000
```

Summary:
**E_tot**: -4.169 eV/atom
**Energy of formation**: 0.249 eV per atom
**E above lowest polymorph**: 0.125 eV per atom
**Space-group type**: P4/mbm